1.
{
  "formula": "Ba2NbVH",
  "functional": "GGA-PBE",
  "state": "relaxed",
  "lattice": [[6.3416, 0.0000, 0.0000], [0.0000, 6.3416, 0.0000], [0.0000, 0.0000, 4.5113]],
  "species": ["Ba", "Ba", "Nb", "V", "H"],
  "frac_coords": [[0.0000, 0.5000, 0.0000], [0.5000, 0.0000, 0.0000], [0.0000, 0.0000, 0.0000], [0.0000, 0.0000, 0.5000], [0.5000, 0.5000, 0.5000]],
  "space_group": "P4/mmm (123)",
  "n_ef_per_ev_cell": 4.15,
  "e_tot_ev_per_cell": -21.26
}

2.
{
  "formula": "NdSm4Eu",
  "functional": "GGA-PBE",
  "state": "relaxed",
  "lattice": [[0.0000, 4.8094, 4.8094], [4.8094, 0.0000, 4.8094], [4.8094, 4.8094, 0.0000]],
  "species": ["Nd", "Sm", "Sm", "Sm", "Sm", "Eu"],
  "frac_coords": [[0.0000, 0.0000, 0.0000], [0.1195, 0.6268, 0.6268], [0.6268, 0.1195, 0.6268], [0.6268, 0.6268, 0.1195], [0.6268, 0.6268, 0.6268], [0.2500, 0.2500, 0.2500]],
  "formation_energy_mev_per_atom": 231,
  "space_group": "F-43m (216)",
  "n_ef_per_ev_cell": 8.07,
  "e_tot_ev_per_cell": -32.53
}

3.
{
  "formula": "Dy2Ga4Pd3Rh",
  "functional": "GGA-PBE",
  "state": "relaxed",
  "lattice": [[4.1697, 0.0000, 0.0000], [0.0000, 4.1697, 0.0000], [0.0000, 0.0000, 10.6448]],
  "species": ["Dy", "Dy", "Ga", "Ga", "Ga", "Ga", "Pd", "Pd", "Pd", "Rh"],
  "frac_coords": [[0.0000, 0.5000, 0.2431], [0.5000, 0.0000, 0.7569], [0.0000, 0.0000, 0.5000], [0.0000, 0.5000, 0.8705], [0.5000, 0.0000, 0.1295], [0.5000, 0.5000, 0.5000], [0.0000, 0.0000, 0.0000], [0.0000, 0.5000, 0.6387], [0.5000, 0.0000, 0.3613], [0.5000, 0.5000, 0.0000]],
  "formation_energy_mev_per_atom": -790,
  "space_group": "P-4m2 (115)",
  "n_ef_per_ev_cell": 6.03,
  "e_tot_ev_per_cell": -52.15
}

4.
{
  "formula": "CdHg2Sb",
  "functional": "GGA-PBE",
  "state": "relaxed",
  "lattice": [[1.7597, 1.0160, 9.4614], [-1.7597, 1.0160, 9.4614], [0.0000, -2.0319, 9.4614]],
  "species": ["Cd", "Hg", "Hg", "Sb"],
  "frac_coords": [[0.0000, 0.0000, 0.0000], [0.2547, 0.2547, 0.2547], [0.7453, 0.7453, 0.7453], [0.5000, 0.5000, 0.5000]],
  "space_group": "R-3m (166)",
  "n_ef_per_ev_cell": 1.04,
  "e_tot_ev_per_cell": -5.30,
  "relative_energy_ev_per_atom": 0.051
}

5.
{
  "formula": "InGaP2S",
  "functional": "GGA-PBE",
  "state": "relaxed",
  "lattice": [[4.7876, 0.0000, 0.0000], [0.0000, 4.7876, 0.0000], [0.0000, 0.0000, 4.7910]],
  "species": ["In", "Ga", "P", "P", "S"],
  "frac_coords": [[0.0000, 0.0000, 0.0000], [0.5000, 0.5000, 0.5000], [0.0000, 0.5000, 0.5000], [0.5000, 0.0000, 0.5000], [0.5000, 0.5000, 0.0000]],
  "space_group": "P4/mmm (123)",
  "n_ef_per_ev_cell": 5.28,
  "e_tot_ev_per_cell": -17.79,
  "relative_energy_ev_per_atom": 0.000
}

6.
{
  "formula": "Pr3TmP4",
  "functional": "GGA-PBE",
  "state": "relaxed",
  "lattice": [[4.1421, -5.8564, 0.0000], [4.1421, 5.8564, 0.0000], [0.0000, 0.0000, 4.1464]],
  "species": ["Pr", "Pr", "Pr", "Tm", "P", "P", "P", "P"],
  "frac_coords": [[0.0000, 0.0000, 0.0000], [0.0000, 0.5000, 0.5000], [0.5000, 0.0000, 0.5000], [0.5000, 0.5000, 0.0000], [0.2552, 0.7448, 0.0000], [0.2601, 0.2601, 0.5000], [0.7399, 0.7399, 0.5000], [0.7448, 0.2552, 0.0000]],
  "formation_energy_mev_per_atom": -1518,
  "space_group": "Cmmm (65)",
  "n_ef_per_ev_cell": 0.59,
  "e_tot_ev_per_cell": -52.59
}

7.
{
  "formula": "Li13Hg3",
  "functional": "GGA-PBE",
  "state": "relaxed",
  "lattice": [[8.3556, 0.0000, 0.0000], [0.0000, 4.1217, 4.2306], [0.0000, -4.1217, 4.2306]],
  "species": ["Li", "Li", "Li", "Li", "Li", "Li", "Li", "Li", "Li", "Li", "Li", "Li", "Li", "Hg", "Hg", "Hg"],
  "frac_coords": [[0.0000, 0.0000, 0.0000], [0.0000, 0.4812, 0.4812], [0.0000, 0.4825, 0.9947], [0.0000, 0.9947, 0.4825], [0.2521, 0.7341, 0.7341], [0.2546, 0.2261, 0.7470], [0.2546, 0.7470, 0.2261], [0.5000, 0.0030, 0.4604], [0.5000, 0.4604, 0.0030], [0.5000, 0.4817, 0.4817], [0.7454, 0.2261, 0.7470], [0.7454, 0.7470, 0.2261], [0.7479, 0.7341, 0.7341], [0.2429, 0.2509, 0.2509], [0.5000, 0.9562, 0.9562], [0.7571, 0.2509, 0.2509]],
  "formation_energy_mev_per_atom": -191,
  "space_group": "Amm2 (38)",
  "n_ef_per_ev_cell": 6.02,
  "e_tot_ev_per_cell": -28.84,
  "relative_energy_ev_per_atom": 0.015
}

8.
{
  "formula": "LiZn3Ga",
  "functional": "GGA-PBE",
  "state": "relaxed",
  "lattice": [[2.1818, -6.0932, 0.0000], [2.1818, 6.0932, 0.0000], [0.0000, 0.0000, 5.8932]],
  "species": ["Li", "Li", "Zn", "Zn", "Zn", "Zn", "Zn", "Zn", "Ga", "Ga"],
  "frac_coords": [[0.1151, 0.8849, 0.7500], [0.8849, 0.1151, 0.2500], [0.1263, 0.8737, 0.2500], [0.3108, 0.6892, 0.0079], [0.3108, 0.6892, 0.4921], [0.6892, 0.3108, 0.5079], [0.6892, 0.3108, 0.9921], [0.8737, 0.1263, 0.7500], [0.4942, 0.5058, 0.7500], [0.5058, 0.4942, 0.2500]],
  "formation_energy_mev_per_atom": -118,
  "space_group": "Cmcm (63)",
  "n_ef_per_ev_cell": 1.62,
  "e_tot_ev_per_cell": -18.70,
  "relative_energy_ev_per_atom": 0.000
}